Record 1
Entry from Alexandria via LeMat-Bulk: a relaxed K12Hg3O5 crystal (PBE).

Unit cell a=15.3278 b=15.3278 c=15.3278 alpha=109.47 beta=109.47 gamma=109.47
Last column: nearest neighbours and their distance in Å.
Element x y z (fractional)
Hg 0.7500 0.3750 0.1250  8 K 3.59-3.76
Hg 0.8750 0.7500 0.1250  8 K 3.59-3.76
Hg 0.3750 0.7500 0.6250  8 K 3.59-3.76
Hg 0.2500 0.1250 0.3750  8 K 3.59-3.76
Hg 0.8750 0.1250 0.2500  8 K 3.59-3.76
Hg 0.3750 0.6250 0.2500  8 K 3.59-3.76
Hg 0.6250 0.3750 0.7500  8 K 3.59-3.76
Hg 0.1250 0.8750 0.7500  8 K 3.59-3.76
Hg 0.7500 0.8750 0.6250  8 K 3.59-3.76
Hg 0.6250 0.2500 0.3750  8 K 3.59-3.76
Hg 0.1250 0.2500 0.8750  8 K 3.59-3.76
Hg 0.2500 0.6250 0.8750  8 K 3.59-3.76
O 0.1250 0.3750 0.2500  4 K 2.53
O 0.0000 0.5000 0.0000  6 K 2.72
O 0.0000 0.0000 0.0000  6 K 2.72
O 0.3750 0.2500 0.1250  4 K 2.53
O 0.5000 0.0000 0.5000  6 K 2.72
O 0.5000 0.5000 0.0000  6 K 2.72
O 0.1250 0.7500 0.3750  4 K 2.53
O 0.7500 0.1250 0.8750  4 K 2.53
O 0.7500 0.6250 0.3750  4 K 2.53
O 0.3750 0.1250 0.7500  4 K 2.53
O 0.6250 0.8750 0.2500  4 K 2.53
O 0.5000 0.5000 0.5000  6 K 2.72
O 0.5000 0.0000 0.0000  6 K 2.72
O 0.0000 0.0000 0.5000  6 K 2.72
O 0.2500 0.3750 0.6250  4 K 2.53
O 0.2500 0.8750 0.1250  4 K 2.53
O 0.0000 0.5000 0.5000  6 K 2.72
O 0.8750 0.2500 0.6250  4 K 2.53
O 0.6250 0.7500 0.8750  4 K 2.53
O 0.8750 0.6250 0.7500  4 K 2.53
K 0.6841 0.1003 0.0006  2 O 2.53-2.72
K 0.3164 0.5006 0.4003  2 O 2.53-2.72
K 0.9994 0.3997 0.3159  2 O 2.53-2.72
K 0.5006 0.1841 0.1003  2 O 2.53-2.72
K 0.5838 0.6841 0.6836  2 O 2.53-2.72
K 0.9994 0.5997 0.1836  2 O 2.53-2.72
K 0.3164 0.8159 0.4162  2 O 2.53-2.72
K 0.0997 0.9162 0.1003  2 O 2.53-2.72
K 0.5997 0.9994 0.6836  2 O 2.53-2.72
K 0.6841 0.5838 0.1836  2 O 2.53-2.72
K 0.8159 0.4994 0.3997  2 O 2.53-2.72
K 0.8164 0.9003 0.0006  2 O 2.53-2.72
K 0.1003 0.6841 0.5006  2 O 2.53-2.72
K 0.3997 0.4003 0.0838  2 O 2.53-2.72
K 0.0838 0.9003 0.3997  2 O 2.53-2.72
K 0.4162 0.1003 0.5997  2 O 2.53-2.72
K 0.0838 0.1836 0.1841  2 O 2.53-2.72
K 0.4994 0.6836 0.0997  2 O 2.53-2.72
K 0.8164 0.9162 0.3159  2 O 2.53-2.72
K 0.1003 0.4162 0.0997  2 O 2.53-2.72
K 0.3997 0.9994 0.8159  2 O 2.53-2.72
K 0.5997 0.6003 0.4162  2 O 2.53-2.72
K 0.9003 0.8164 0.5006  2 O 2.53-2.72
K 0.8159 0.3164 0.9162  2 O 2.53-2.72
K 0.4003 0.3997 0.5838  2 O 2.53-2.72
K 0.0997 0.1836 0.4994  2 O 2.53-2.72
K 0.1841 0.6836 0.0838  2 O 2.53-2.72
K 0.1836 0.0838 0.6841  2 O 2.53-2.72
K 0.6003 0.0006 0.1841  2 O 2.53-2.72
K 0.8997 0.5838 0.9003  2 O 2.53-2.72
K 0.5006 0.3164 0.9003  2 O 2.53-2.72
K 0.5838 0.8997 0.4003  2 O 2.53-2.72
K 0.9162 0.8164 0.8159  2 O 2.53-2.72
K 0.9162 0.0997 0.6003  2 O 2.53-2.72
K 0.8997 0.3159 0.4994  2 O 2.53-2.72
K 0.1836 0.0997 0.9994  2 O 2.53-2.72
K 0.6003 0.5997 0.9162  2 O 2.53-2.72
K 0.4003 0.0006 0.3164  2 O 2.53-2.72
K 0.3159 0.4162 0.8164  2 O 2.53-2.72
K 0.1841 0.5006 0.6003  2 O 2.53-2.72
K 0.9003 0.0838 0.8997  2 O 2.53-2.72
K 0.6836 0.1841 0.5838  2 O 2.53-2.72
K 0.4994 0.8159 0.8997  2 O 2.53-2.72
K 0.0006 0.4003 0.8164  2 O 2.53-2.72
K 0.4162 0.3159 0.3164  2 O 2.53-2.72
K 0.0006 0.6003 0.6841  2 O 2.53-2.72
K 0.6836 0.4994 0.5997  2 O 2.53-2.72
K 0.3159 0.8997 0.9994  2 O 2.53-2.72

Computed properties:
The density of states at the Fermi level is 0.49 states/eV per atom. The space group is Ia-3d (230). The total magnetic moment comes out at 0.91 μB per cell. As for the energy relative to the elements, uncorrected: -1348.4 kJ/mol of formula units.

***

Record 2
Entry from Alexandria via LeMat-Bulk: a relaxed Dy2Er2Si3 crystal (PBE).

Unit cell a=4.6015 b=5.5877 c=7.9656 alpha=102.07 beta=89.98 gamma=114.32
Last column: nearest neighbours and their distance in Å.
Element x y z (fractional)
Dy 0.6368 0.2732 0.9082  5 Si 2.87-3.02
Dy 0.3632 0.7268 0.0918  5 Si 2.87-3.02
Er 0.8719 0.7432 0.6463  4 Si 2.82-2.97
Er 0.1281 0.2568 0.3537  4 Si 2.82-2.97
Si 0.0000 0.0000 0.0000  2 Er 2.82, 4 Dy 2.87
Si 0.7906 0.5817 0.2798  3 Er 2.85-2.97, 3 Dy 2.93-3.02
Si 0.2094 0.4183 0.7202  3 Er 2.85-2.97, 3 Dy 2.93-3.02

Computed properties:
The density of states at the Fermi level is 0.50 states/eV per atom. The space group is C2/m (12). The total magnetic moment comes out at 0.00 μB per cell. As for the energy relative to the elements, uncorrected: -319.7 kJ/mol of formula units.

***

Record 3
Entry from Alexandria via LeMat-Bulk: a relaxed AlBi3N crystal (PBE).

Unit cell a=4.9613 b=4.9613 c=4.9613 alpha=90.00 beta=90.00 gamma=90.00
Last column: nearest neighbours and their distance in Å.
Element x y z (fractional)
N 0.0000 0.0000 0.0000  6 Bi 2.48
Bi 0.0000 0.5000 0.0000  2 N 2.48
Bi 0.0000 0.0000 0.5000  2 N 2.48
Bi 0.5000 0.0000 0.0000  2 N 2.48
Al 0.5000 0.5000 0.5000  12 Bi 3.51

Computed properties:
The density of states at the Fermi level is 0.87 states/eV per atom. The space group is Pm-3m (221). The energy above the most stable polymorph in this dataset comes out at 0.0 kJ per mole of atoms. The total magnetic moment comes out at 0.00 μB per cell. As for the energy relative to the elements, uncorrected: 296.0 kJ/mol of formula units.

***

Record 4
Entry from Alexandria via LeMat-Bulk: a relaxed La2YHgBr crystal (PBE).

Unit cell a=5.6495 b=5.3073 c=5.6495 alpha=90.00 beta=90.00 gamma=90.00
Last column: nearest neighbours and their distance in Å.
Element x y z (fractional)
Y 0.0000 0.5000 0.0000  2 Br 2.65
Hg 0.5000 0.5000 0.5000  8 La 3.88, 4 Y 3.99
Br 0.0000 0.0000 0.0000  2 Y 2.65, 4 La 2.82
La 0.0000 0.0000 0.5000  2 Br 2.82
La 0.5000 0.0000 0.0000  2 Br 2.82

Computed properties:
The density of states at the Fermi level is 0.80 states/eV per atom. The space group is P4/mmm (123). The total magnetic moment comes out at 0.00 μB per cell. As for the energy relative to the elements, uncorrected: -146.8 kJ/mol of formula units.